# Zr3FeI

An optimized crystal structure of Zr3FeI (PBE, Alexandria via LeMat-Bulk).

Summary:
total DFT energy (no corrections) = -34.477 eV per formula unit
M_tot = 0.0 μB/f.u.
excess energy over the best structure of this formula in the dataset = 0 meV per atom
formation energy from raw total energies = 0.236 eV per atom

Structure (CIF):
```
data_Zr3FeI
_chemical_formula_sum 'Zr3 Fe1 I1'
_cell_length_a 4.920
_cell_length_b 4.920
_cell_length_c 4.920
_cell_angle_alpha 90.00
_cell_angle_beta 90.00
_cell_angle_gamma 90.00
_symmetry_space_group_name_H-M 'P 1'
_symmetry_Int_Tables_number 1
loop_
_symmetry_equiv_pos_as_xyz
'x,y,z'
loop_
_atom_site_label
_atom_site_type_symbol
_atom_site_fract_x
_atom_site_fract_y
_atom_site_fract_z
_atom_site_occupancy
Zr1 Zr 0.000 0.500 0.000 1
Fe1 Fe 0.000 0.000 0.000 1
Zr2 Zr 0.500 0.000 0.000 1
Zr3 Zr 0.000 0.000 0.500 1
I1 I 0.500 0.500 0.500 1
```